No. 1
LiGaBiPt2 | PBEsol | relaxed

Cell: 4.4472 4.6749 4.6749 Å, 90.00 90.00 90.00°
Fractional coordinates of all 5 atoms:
Pt  0.0000  0.5000  0.0000
Bi  0.5000  0.5000  0.5000
Li  0.5000  0.0000  0.0000
Pt  0.0000  0.0000  0.5000
Ga  0.0000  0.0000  0.0000

Calculated values
Total DFT energy (no corrections) (eV/atom): -4.687
Total moment (μB per cell): 0.0
ΔH_f (0 K) (eV/atom): 0.0172

No. 2
HfTiPd2 | PBEsol | relaxed

Cell: 4.5349 4.5349 4.5349 Å, 60.00 60.00 60.00°
Fractional coordinates of all 4 atoms:
Hf  0.5000  0.5000  0.5000
Ti  0.0000  0.0000  0.0000
Pd  0.2500  0.2500  0.2500
Pd  0.7500  0.7500  0.7500

Calculated values
Total DFT energy (no corrections) (eV/atom): -8.232
Total moment (μB per cell): 0.0
ΔH_f (0 K) (eV/atom): -0.5463

No. 3
GeRu2I | PBEsol | relaxed

Cell: 4.4799 4.4799 4.4799 Å, 60.00 60.00 60.00°
Each line ends with the local moment (μB).
Fractional coordinates of all 4 atoms:
Ru  0.7500  0.7500  0.7500  0.45
Ge  0.0000  0.0000  0.0000  -0.01
Ru  0.2500  0.2500  0.2500  0.45
I  0.5000  0.5000  0.5000  0.03

Calculated values
Total DFT energy (no corrections) (eV/atom): -6.184
Total moment (μB per cell): 0.9
Uncorrected formation energy (meV per atom): 579

No. 4
Zr2ZnCd | PBEsol | relaxed

Cell: 4.3205 4.3205 5.1215 Å, 114.95 114.95 90.00°
Fractional coordinates of all 4 atoms:
Zr  0.2500  0.7500  0.5000
Zn  0.0000  0.0000  0.0000
Zr  0.7500  0.2500  0.5000
Cd  0.5000  0.5000  0.0000

Calculated values
Total DFT energy (no corrections) (eV/atom): -5.418
Energy above the most stable polymorph in this dataset (kJ per mole of atoms): 1.7
Total moment (μB per cell): 0.0
ΔH_f (0 K) (eV/atom): -0.1788

No. 5
Rh2W2F | PBEsol | relaxed

Cell: 3.5952 3.5952 6.7356 Å, 105.48 105.48 90.00°
Fractional coordinates of all 5 atoms:
W  0.3935  0.3935  0.7870
Rh  0.7500  0.2500  0.5000
Rh  0.2500  0.7500  0.5000
F  0.0000  0.0000  0.0000
W  0.6065  0.6065  0.2130

Calculated values
Total DFT energy (no corrections) (eV/atom): -8.514
Total moment (μB per cell): 0.0
Uncorrected formation energy (meV per atom): 650

No. 6
La2AlNi | PBEsol | relaxed

Cell: 4.3269 4.3269 5.7244 Å, 112.21 112.21 90.00°
Fractional coordinates of all 4 atoms:
Al  0.2500  0.7500  0.5000
La  0.0000  0.0000  0.0000
Ni  0.5000  0.5000  0.0000
La  0.7500  0.2500  0.5000

Calculated values
Total DFT energy (no corrections) (eV/atom): -5.335
Total moment (μB per cell): 0.0
ΔH_f (0 K) (eV/atom): -0.0997

No. 7
Tl2HgI | PBEsol | relaxed

Cell: 5.5968 5.5968 5.5968 Å, 60.00 60.00 60.00°
Fractional coordinates of all 4 atoms:
Hg  0.5000  0.5000  0.5000
Tl  0.7500  0.7500  0.7500
I  0.0000  0.0000  0.0000
Tl  0.2500  0.2500  0.2500

Calculated values
Total DFT energy (no corrections) (eV/atom): -2.021
Total moment (μB per cell): 0.0
Uncorrected formation energy (meV per atom): -123

No. 8
Cu2Br | PBEsol | relaxed

Cell: 3.4948 4.0676 4.0676 Å, 120.00 90.00 90.00°
Fractional coordinates of all 3 atoms:
Cu  0.5000  0.3333  0.6667
Br  0.0000  0.0000  0.0000
Cu  0.5000  0.6667  0.3333

Calculated values
Total DFT energy (no corrections) (eV/atom): -2.951
Total moment (μB per cell): 0.0
Uncorrected formation energy (meV per atom): 561